# LaPb2WO6 PBE+U relaxed
# density = 8.7 g cm⁻³
# DFT total energy = -139.40 eV for the cell shown
data_LaPb2WO6
_cell_length_a 5.7805
_cell_length_b 6.3484
_cell_length_c 10.3841
_cell_angle_alpha 90.00
_cell_angle_beta 122.97
_cell_angle_gamma 90.00
_space_group_name_H-M_alt 'P 1 21/c 1'
_space_group_IT_number 14
loop_
_space_group_symop_operation_xyz
'x,y,z'
'-x,-y,-z'
'-x,y+1/2,-z+1/2'
'x,-y+1/2,z+1/2'
loop_
_atom_site_label
_atom_site_fract_x
_atom_site_fract_y
_atom_site_fract_z
La1 0.0000 0.0000 0.0000
Pb1 0.2293 0.0502 0.7237
W1 0.5000 0.0000 0.5000
O1 0.1764 0.1666 0.4822
O2 0.2804 0.7445 0.4550
O3 0.3512 0.0417 0.2691